Record 1
## CrTe2RuC (PBEsol)

Data for CrTe2RuC after structural relaxation.

DOS at the Fermi energy (states/eV/f.u.): 4.4
Total magnetic moment (μB/atom): 0.6178
Raw total energy (eV/atom): -5.443
Space-group type: No. 123
ΔE_f (raw) (eV/atom): 1.98
Crystal system: tetragonal
Volume (Å³/cell): 117

Unit cell a=4.631 b=5.024 c=5.024 alpha=90.00 beta=90.00 gamma=90.00
Positions (direct):
Ru 0.000 0.000 0.000
C 0.500 0.500 0.500
Te 0.000 0.000 0.500
Te 0.000 0.500 0.000
Cr 0.500 0.000 0.000



Record 2
## SrScCo (PBEsol)

Data for SrScCo after structural relaxation.

DOS at the Fermi energy (states/eV/f.u.): 1.5
Total magnetic moment (μB/atom): 0.0000
Energy of formation (eV/atom): 0.919
Raw total energy (eV/atom): -4.475
Space-group type: No. 216
Crystal system: cubic
Volume (Å³/cell): 68

Unit cell a=4.578 b=4.578 c=4.578 alpha=60.00 beta=60.00 gamma=60.00
Positions (direct):
Co 0.500 0.500 0.500
Sc 0.750 0.750 0.750
Sr 0.000 0.000 0.000



Record 3
## Li2CoSi (PBEsol)

Data for Li2CoSi after structural relaxation.

DOS at the Fermi energy (states/eV/f.u.): 1.5
Total magnetic moment (μB/atom): 0.2032
Raw total energy (eV/atom): -4.247
Space-group type: No. 123
ΔE_f (raw) (eV/atom): 0.11
Crystal system: tetragonal
Volume (Å³/cell): 49

Unit cell a=3.249 b=3.249 c=4.617 alpha=90.00 beta=90.00 gamma=90.00
Positions (direct):
Si 0.500 0.500 0.000
Co 0.500 0.500 0.500
Li 0.000 0.000 0.737
Li 0.000 0.000 0.263



Record 4
## Cs2Se3 (PBEsol)

Data for Cs2Se3 after structural relaxation.

Total magnetic moment (μB/atom): 0.0000
Raw total energy (eV/atom): -3.519
Space-group type: No. 36
ΔE_f (raw) (eV/atom): -0.83
Crystal system: orthorhombic
Volume (Å³/cell): 359

Unit cell a=6.954 b=6.954 c=8.029 alpha=90.00 beta=90.00 gamma=112.55
Positions (direct):
Cs 0.408 0.592 0.041
Cs 0.592 0.408 0.541
Cs 0.919 0.081 0.320
Cs 0.081 0.919 0.820
Se 0.713 0.287 0.998
Se 0.287 0.713 0.498
Se 0.424 0.086 0.171
Se 0.576 0.914 0.671
Se 0.086 0.424 0.671
Se 0.914 0.576 0.171



Record 5
## Ti3BiF (PBEsol)

Data for Ti3BiF after structural relaxation.

DOS at the Fermi energy (states/eV/f.u.): 5.9
Total magnetic moment (μB/atom): 0.2257
Raw total energy (eV/atom): -6.834
Space-group type: No. 221
ΔE_f (raw) (eV/atom): -0.60
Crystal system: cubic
Volume (Å³/cell): 78

Unit cell a=4.268 b=4.268 c=4.268 alpha=90.00 beta=90.00 gamma=90.00
Positions (direct):
F 0.000 0.000 0.000
Bi 0.500 0.500 0.500
Ti 0.000 0.500 0.000
Ti 0.000 0.000 0.500
Ti 0.500 0.000 0.000



Record 6
## TaFe2SiTe (PBEsol)

Data for TaFe2SiTe after structural relaxation.

DOS at the Fermi energy (states/eV/f.u.): 5.3
Total magnetic moment (μB/atom): 0.6957
Raw total energy (eV/atom): -7.284
Space-group type: No. 123
ΔE_f (raw) (eV/atom): 0.67
Crystal system: tetragonal
Volume (Å³/cell): 85

Unit cell a=4.229 b=4.229 c=4.747 alpha=90.00 beta=90.00 gamma=90.00
Positions (direct):
Si 0.000 0.000 0.000
Te 0.500 0.500 0.500
Fe 0.000 0.500 0.000
Fe 0.500 0.000 0.000
Ta 0.000 0.000 0.500



Record 7
## SrCuSi2 (PBEsol)

Data for SrCuSi2 after structural relaxation.

DOS at the Fermi energy (states/eV/f.u.): 1.3
Total magnetic moment (μB/atom): 0.0000
Raw total energy (eV/atom): -4.642
Space-group type: No. 10
ΔE_f (raw) (eV/atom): -0.23
Crystal system: monoclinic
Volume (Å³/cell): 83

Unit cell a=3.943 b=4.006 c=5.368 alpha=90.00 beta=102.80 gamma=90.00
Positions (direct):
Cu 0.000 0.500 0.500
Si 0.794 0.000 0.640
Si 0.206 0.000 0.360
Sr 0.500 0.500 0.000



Record 8
## Sr2ReHg (PBEsol)

Data for Sr2ReHg after structural relaxation.

DOS at the Fermi energy (states/eV/f.u.): 2.9
Total magnetic moment (μB/atom): 0.0001
Energy of formation (eV/atom): 0.615
Raw total energy (eV/atom): -3.780
Space-group type: No. 25
Crystal system: orthorhombic
Volume (Å³/cell): 98

Unit cell a=3.086 b=5.320 c=5.947 alpha=90.00 beta=90.00 gamma=90.00
Positions (direct):
Hg 0.500 0.000 0.527
Re 0.500 0.500 0.220
Sr 0.000 0.000 0.062
Sr 0.000 0.500 0.691



Record 9
## PdAuSeBr2 (PBEsol)

Data for PdAuSeBr2 after structural relaxation.

DOS at the Fermi energy (states/eV/f.u.): 7.6
Total magnetic moment (μB/atom): 0.2517
Raw total energy (eV/atom): -2.796
Space-group type: No. 123
ΔE_f (raw) (eV/atom): 0.70
Crystal system: tetragonal
Volume (Å³/cell): 131

Unit cell a=5.087 b=5.077 c=5.077 alpha=90.00 beta=90.00 gamma=90.00
Positions (direct):
Se 0.500 0.000 0.000
Au 0.000 0.000 0.000
Br 0.000 0.000 0.500
Br 0.000 0.500 0.000
Pd 0.500 0.500 0.500



Record 10
## Mn5Zn24 (PBEsol)

Data for Mn5Zn24 after structural relaxation.

DOS at the Fermi energy (states/eV/f.u.): 13.0
Total magnetic moment (μB/atom): 0.4267
Energy of formation (eV/atom): 0.051
Raw total energy (eV/atom): -2.941
Space-group type: No. 217
Crystal system: cubic
Volume (Å³/cell): 388

Unit cell a=7.957 b=7.957 c=7.957 alpha=109.47 beta=109.47 gamma=109.47
Positions (direct):
Mn 0.000 0.000 0.364
Mn 0.636 0.636 0.636
Mn 0.364 0.000 0.000
Mn 0.000 0.364 0.000
Mn 0.000 0.000 0.000
Zn 0.189 0.189 0.819
Zn 0.370 0.370 0.181
Zn 0.630 0.811 0.000
Zn 0.811 0.630 0.000
Zn 0.000 0.811 0.630
Zn 0.000 0.630 0.811
Zn 0.181 0.370 0.370
Zn 0.819 0.189 0.189
Zn 0.811 0.000 0.630
Zn 0.630 0.000 0.811
Zn 0.189 0.819 0.189
Zn 0.370 0.181 0.370
Zn 0.687 0.687 0.289
Zn 0.399 0.399 0.711
Zn 0.601 0.313 0.000
Zn 0.313 0.601 0.000
Zn 0.000 0.313 0.601
Zn 0.000 0.601 0.313
Zn 0.711 0.399 0.399
Zn 0.289 0.687 0.687
Zn 0.313 0.000 0.601
Zn 0.601 0.000 0.313
Zn 0.687 0.289 0.687
Zn 0.399 0.711 0.399



Record 11
## LaCrFe2Sn (PBEsol)

Data for LaCrFe2Sn after structural relaxation.

DOS at the Fermi energy (states/eV/f.u.): 9.3
Total magnetic moment (μB/atom): 0.1859
Energy of formation (eV/atom): 1.438
Raw total energy (eV/atom): -6.116
Space-group type: No. 123
Crystal system: tetragonal
Volume (Å³/cell): 133

Unit cell a=4.788 b=4.788 c=5.810 alpha=90.00 beta=90.00 gamma=90.00
Positions (direct):
Fe 0.000 0.500 0.000
Fe 0.500 0.000 0.000
Cr 0.500 0.500 0.500
Sn 0.000 0.000 0.000
La 0.000 0.000 0.500



Record 12
## PdAuO2 (PBEsol)

Data for PdAuO2 after structural relaxation.

DOS at the Fermi energy (states/eV/f.u.): 2.7
Total magnetic moment (μB/atom): 0.0004
Raw total energy (eV/atom): -5.335
Space-group type: No. 166
ΔE_f (raw) (eV/atom): -0.24
Crystal system: trigonal
Volume (Å³/cell): 53

Unit cell a=3.184 b=3.184 c=6.306 alpha=75.38 beta=75.38 gamma=60.00
Positions (direct):
Au 0.000 0.000 0.000
Pd 0.500 0.500 0.500
O 0.888 0.888 0.336
O 0.112 0.112 0.664